First-principles (GGA-PBE) data for a geometry-optimized Ce4AgIr structure, as listed in the Alexandria database.

Computed properties:
Spin magnetization   1.83 μB/f.u.
N(E_F)   2.52 states/eV/atom
Formation energy from the elements   -0.2856 eV/atom
Offset from the most stable computed form   0 meV/atom
VASP energy   -37.16 eV/f.u.
Calculated volume   291.7 Å³/cell

Cell lengths 5.807, 8.759, 7.491 Å; angles 117.17, 101.22, 109.28 degrees
Last column: magnetic moment on the atom in μB.
Positions (direct):
Ce 0.648 0.068 0.393  0.35
Ce 0.032 0.174 0.790  0.43
Ce 0.352 0.932 0.607  0.35
Ce 0.742 0.383 0.210  0.43
Ce 0.755 0.675 0.607  0.35
Ce 0.245 0.325 0.393  0.35
Ce 0.968 0.826 0.210  0.43
Ce 0.258 0.617 0.790  0.43
Ir 0.747 0.997 0.995  -0.03
Ir 0.253 0.003 0.005  -0.03
Ag 0.651 0.401 0.802  0.00
Ag 0.349 0.599 0.198  0.00